CeHoFeRu: optimized geometry, GGA-PBE.

Cell and atoms, written as POSCAR:
```
CeHoFeRu
1.0
4.8158 0.0000 0.0000
2.4079 4.1706 0.0000
2.4079 1.3902 3.9321
Ce Fe Ru Ho
1 1 1 1
Cartesian
0.0000 0.0000 0.0000
7.2237 4.1706 2.9490
2.4079 1.3902 0.9830
4.8158 2.7804 1.9660
```

Computed properties:
ρ = 9.7 g cm⁻³
DFT total energy = -28.71 eV per cell
volume = 19.7 Å³ per atom



BaLaRuO2: optimized geometry, GGA-PBE.

Cell and atoms, written as POSCAR:
```
BaLaRuO2
1.0
-0.7146 4.4368 -1.1388
-3.7528 0.3589 3.7535
3.2073 1.3076 3.0817
Ru O Ba La
1 2 1 1
Cartesian
-1.8764 0.1795 1.8767
-0.3573 2.2184 -0.5694
1.6036 0.6538 1.5408
0.0000 0.0000 0.0000
-0.6301 3.0517 2.8482
```

Computed properties:
ρ = 5.9 g cm⁻³
E_form (uncorrected) = -0.12 eV/atom
volume = 22.9 Å³ per atom



LaZnW2: optimized geometry, GGA-PBE.

Cell and atoms, written as POSCAR:
```
LaZnW2
1.0
2.7801 -0.0092 0.0000
0.0111 2.7801 0.0000
0.0000 0.0000 9.6701
La W Zn
1 2 1
Cartesian
1.3956 1.3854 7.2526
0.0000 0.0000 0.3812
0.0000 0.0000 4.4539
1.3956 1.3854 2.4175
```

Computed properties:
ρ = 12.7 g cm⁻³
DFT total energy = -29.56 eV per cell
volume = 18.7 Å³ per atom



Nd2Dy2Sb2H: optimized geometry, GGA-PBE.

Cell and atoms, written as POSCAR:
```
Nd2Dy2Sb2H
1.0
4.5633 0.0000 0.0000
0.0000 4.5633 0.0000
-2.2817 -2.2817 8.5676
H Sb Nd Dy
1 2 2 2
Cartesian
0.0000 0.0000 0.0000
2.2817 2.2817 2.2703
0.0000 0.0000 6.2973
2.2817 2.2817 5.5176
0.0000 0.0000 3.0500
2.2817 0.0000 0.0000
0.0000 2.2817 0.0000
```

Computed properties:
ρ = 8.0 g cm⁻³
DFT total energy = -36.17 eV per cell
volume = 25.5 Å³ per atom



Nd2Ho2Mg15: optimized geometry, GGA-PBE.

Cell and atoms, written as POSCAR:
```
Nd2Ho2Mg15
1.0
7.9310 -0.0447 -0.0398
0.9846 7.8698 -0.0398
0.9846 0.8642 7.8223
Mg Nd Ho
15 2 2
Cartesian
7.3996 3.0811 2.7455
5.8852 1.7519 4.9972
0.4923 0.4321 3.9111
3.0437 0.5948 5.4917
0.4923 3.9349 -0.0199
2.5007 5.6082 4.9972
5.8719 0.2247 2.2907
0.9846 5.7931 2.2907
5.8852 5.1653 1.1665
4.0151 6.9374 2.7455
3.0437 5.5237 -0.0398
5.8719 2.3014 -0.0398
0.9846 2.9409 5.4917
3.9655 -0.0223 -0.0199
4.0151 3.5240 6.5762
3.2799 2.8787 2.5651
6.6204 5.8106 5.1776
8.9083 7.8186 6.9669
0.9920 0.8707 0.7758
```

Computed properties:
ρ = 3.3 g cm⁻³
DFT total energy = -42.69 eV per cell
volume = 25.7 Å³ per atom



NdErTl4: optimized geometry, GGA-PBE.

Cell and atoms, written as POSCAR:
```
NdErTl4
1.0
-4.0788 -2.9323 0.9823
1.7055 -0.7686 4.7693
-3.7977 6.0597 2.3396
Nd Tl Er
1 4 1
Cartesian
-4.9871 4.1963 5.1993
-1.3427 -0.6449 5.8622
-3.1286 2.2091 6.9657
-0.1554 1.2089 2.9897
-1.9424 4.0560 4.0874
-0.1960 2.2484 5.9235
```

Computed properties:
ρ = 9.5 g cm⁻³
DFT total energy = -18.86 eV per cell
volume = 32.9 Å³ per atom



ZrSbMo2S: optimized geometry, GGA-PBE.

Cell and atoms, written as POSCAR:
```
ZrSbMo2S
1.0
4.9054 0.0000 0.0000
0.0000 5.3651 0.0000
0.0000 0.0000 4.9054
Sb Mo S Zr
1 2 1 1
Cartesian
0.0000 0.0000 0.0000
2.4527 0.0000 0.0000
0.0000 0.0000 2.4527
2.4527 2.6825 2.4527
0.0000 2.6825 0.0000
```

Computed properties:
ρ = 5.6 g cm⁻³
E_form (uncorrected) = 1.72 eV/atom
volume = 25.8 Å³ per atom



Ca4GeSb: optimized geometry, GGA-PBE.

Cell and atoms, written as POSCAR:
```
Ca4GeSb
1.0
6.8583 0.0174 0.0000
-1.7337 8.1104 0.0000
-2.5623 -4.0639 6.8837
Ca Sb Ge
8 2 2
Cartesian
-0.0487 0.9448 2.4059
3.4463 2.3795 0.8679
-2.5452 -1.6931 6.0158
3.4779 -0.9361 2.4059
2.6111 3.1191 4.4777
-0.9156 5.0000 4.4777
5.1075 5.7570 0.8679
-0.8840 1.6844 6.0158
0.8478 4.0595 1.8609
1.7146 0.0044 5.0228
1.7146 0.0043 0.0153
0.8478 4.0596 6.8684
```

Computed properties:
ρ = 3.1 g cm⁻³
E_form (uncorrected) = -0.67 eV/atom
volume = 31.9 Å³ per atom



DyPuAg4: optimized geometry, GGA-PBE.

Cell and atoms, written as POSCAR:
```
DyPuAg4
1.0
5.2757 -0.0750 0.0418
0.0436 4.5850 2.6161
-0.0449 -0.0801 5.4675
Ag Dy Pu
4 1 1
Cartesian
0.0082 0.8079 1.2421
0.0047 3.7138 6.8017
2.6674 3.0415 2.6097
2.6215 1.4068 5.4753
0.0065 2.2610 4.0218
2.6225 -0.0684 2.7345
```

Computed properties:
ρ = 10.4 g cm⁻³
offset from the most stable computed form = 0 meV/atom
volume = 22.2 Å³ per atom



TbPr3Th: optimized geometry, GGA-PBE.

Cell and atoms, written as POSCAR:
```
TbPr3Th
1.0
8.7857 0.0000 4.8830
3.0359 8.2445 4.8830
2.0738 1.4463 6.6140
Pr Th Tb
6 2 2
Cartesian
5.5088 1.7149 7.4020
4.5038 7.2681 8.9960
9.4306 4.5769 10.6911
9.3917 2.4227 7.3841
4.4649 5.1140 5.6890
8.3867 7.9760 8.9780
6.9477 4.8454 8.1900
0.0000 0.0000 0.0000
3.4739 2.4227 4.0950
10.4216 7.2681 12.2851
```

Computed properties:
ρ = 7.6 g cm⁻³
DFT total energy = -49.61 eV per cell
volume = 35.5 Å³ per atom



La2MgIr: optimized geometry, GGA-PBE.

Cell and atoms, written as POSCAR:
```
La2MgIr
1.0
8.5381 0.0000 0.0000
0.0000 8.5381 0.0000
4.2691 4.2691 3.2245
La Mg Ir
4 2 2
Cartesian
10.6727 11.2300 2.4184
1.5772 6.4036 0.8061
6.4036 5.8463 2.4184
6.9609 2.1345 0.8061
4.2691 8.5381 1.6122
4.2691 4.2691 0.0000
8.5381 4.2691 1.6122
0.0000 0.0000 0.0000
```

Computed properties:
ρ = 7.0 g cm⁻³
DFT total energy = -42.11 eV per cell
volume = 29.4 Å³ per atom



Ac8Te4PdSe3: optimized geometry, GGA-PBE.

Cell and atoms, written as POSCAR:
```
Ac8Te4PdSe3
1.0
-5.4100 1.6381 -7.2117
1.3534 -8.7146 -2.9948
-3.1346 1.4123 8.4934
Ac Se Te Pd
8 3 4 1
Cartesian
-3.7922 -1.1311 -6.2138
-4.5536 -4.4400 -3.4136
-1.7955 -5.2573 0.1528
-6.1691 -3.6943 0.8082
-1.0221 -1.9699 -2.5212
-2.6376 -1.2242 1.7006
-5.3957 -0.4070 -1.8658
-3.3990 -4.5331 4.5008
-0.8906 -3.6511 2.7493
-3.5956 -2.8321 -0.8565
-2.0283 -3.5383 -5.1032
-2.7050 0.8190 -3.6058
0.0000 0.0000 0.0000
-4.2723 1.5252 0.6409
-1.5673 0.7062 4.2467
0.6767 -4.3573 -1.4974
```

Computed properties:
ρ = 8.0 g cm⁻³
E_form (uncorrected) = -1.55 eV/atom
volume = 34.8 Å³ per atom